#1
An optimized crystal structure of PaSn2Pd8, computed with PBE.

Lattice parameters (Å, degrees): 5.316 5.360 7.072 99.91 99.05 94.81
Atoms (fractional coordinates):
Pa (0.000, 0.000, 0.000)
Sn (0.347, 0.313, 0.666)
Sn (0.653, 0.687, 0.334)
Pd (0.052, 0.352, 0.322)
Pd (0.189, 0.875, 0.394)
Pd (0.258, 0.555, 0.030)
Pd (0.484, 0.861, 0.803)
Pd (0.516, 0.139, 0.197)
Pd (0.742, 0.445, 0.970)
Pd (0.811, 0.125, 0.606)
Pd (0.948, 0.648, 0.678)

Summary:
Magnetization = 0.0 μB/f.u.
Space-group type = P-1
N(E_F) = 0.402 states/eV/atom

#2
An optimized crystal structure of PaSn2Pd8, computed with PBE.

Lattice parameters (Å, degrees): 7.659 7.659 6.645 109.62 109.62 31.65
Atoms (fractional coordinates):
Pa (0.000, 0.000, 0.000)
Sn (0.291, 0.291, 0.338)
Sn (0.709, 0.709, 0.662)
Pd (0.095, 0.095, 0.449)
Pd (0.176, 0.176, 0.922)
Pd (0.354, 0.354, 0.794)
Pd (0.463, 0.463, 0.264)
Pd (0.537, 0.537, 0.736)
Pd (0.646, 0.646, 0.206)
Pd (0.824, 0.824, 0.078)
Pd (0.905, 0.905, 0.551)

Summary:
Magnetization = 0.0 μB/f.u.
Space-group type = C2/m
N(E_F) = 0.424 states/eV/atom

Which structure is the most stable? The one labeled #2.

#1
An optimized crystal structure of Pa2TaPd, computed with PBE.

Lattice parameters (Å, degrees): 3.045 3.045 32.318 90.00 90.00 120.00
Atoms (fractional coordinates):
Pa (0.000, 0.000, 0.084)
Pa (0.000, 0.000, 0.916)
Pa (0.333, 0.667, 0.583)
Pa (0.333, 0.667, 0.751)
Pa (0.667, 0.333, 0.249)
Pa (0.667, 0.333, 0.417)
Ta (0.000, 0.000, 0.500)
Ta (0.333, 0.667, 0.167)
Ta (0.667, 0.333, 0.833)
Pd (0.000, 0.000, 0.000)
Pd (0.333, 0.667, 0.667)
Pd (0.667, 0.333, 0.333)

Summary:
Magnetization = 0.0 μB/f.u.
Space-group type = R-3m
N(E_F) = 1.317 states/eV/atom

#2
An optimized crystal structure of Pa2TaPd, computed with PBE.

Lattice parameters (Å, degrees): 4.297 4.297 4.583 90.00 90.00 90.00
Atoms (fractional coordinates):
Pa (0.000, 0.500, 0.000)
Pa (0.500, 0.000, 0.000)
Ta (0.000, 0.000, 0.500)
Pd (0.500, 0.500, 0.500)

Summary:
Magnetization = 0.0 μB/f.u.
Space-group type = P4/mmm
N(E_F) = 1.836 states/eV/atom

#3
An optimized crystal structure of Pa2TaPd, computed with PBE.

Lattice parameters (Å, degrees): 3.612 3.612 6.739 90.00 90.00 90.00
Atoms (fractional coordinates):
Pa (0.000, 0.000, 0.246)
Pa (0.000, 0.000, 0.754)
Ta (0.500, 0.500, 0.500)
Pd (0.500, 0.500, 0.000)

Summary:
Magnetization = 0.0 μB/f.u.
Space-group type = P4/mmm
N(E_F) = 1.587 states/eV/atom

Which structure is the most stable? The one labeled #3.

#1
An optimized crystal structure of Tb2PaPd, computed with PBE.

Lattice parameters (Å, degrees): 3.265 3.265 32.766 90.00 90.00 120.00
Atoms (fractional coordinates):
Tb (0.000, 0.000, 0.098)
Tb (0.000, 0.000, 0.902)
Tb (0.333, 0.667, 0.569)
Tb (0.333, 0.667, 0.765)
Tb (0.667, 0.333, 0.235)
Tb (0.667, 0.333, 0.431)
Pa (0.000, 0.000, 0.000)
Pa (0.333, 0.667, 0.667)
Pa (0.667, 0.333, 0.333)
Pd (0.000, 0.000, 0.500)
Pd (0.333, 0.667, 0.167)
Pd (0.667, 0.333, 0.833)

Summary:
Magnetization = 0.0 μB/f.u.
Space-group type = R-3m
N(E_F) = 1.170 states/eV/atom

#2
An optimized crystal structure of Tb2PaPd, computed with PBE.

Lattice parameters (Å, degrees): 3.485 3.485 8.164 90.00 90.00 90.00
Atoms (fractional coordinates):
Tb (0.000, 0.000, 0.215)
Tb (0.000, 0.000, 0.785)
Pa (0.500, 0.500, 0.500)
Pd (0.500, 0.500, 0.000)

Summary:
Magnetization = 0.0 μB/f.u.
Space-group type = P4/mmm
N(E_F) = 1.329 states/eV/atom

Which structure is the most stable? The one labeled #2.

#1
An optimized crystal structure of Pa2TePd, computed with PBE.

Lattice parameters (Å, degrees): 3.458 3.458 7.833 90.00 90.00 90.00
Atoms (fractional coordinates):
Pa (0.000, 0.000, 0.238)
Pa (0.000, 0.000, 0.762)
Te (0.500, 0.500, 0.500)
Pd (0.500, 0.500, 0.000)

Summary:
Magnetization = 0.7 μB/f.u.
Space-group type = P4/mmm
N(E_F) = 1.922 states/eV/atom

#2
An optimized crystal structure of Pa2TePd, computed with PBE.

Lattice parameters (Å, degrees): 3.357 3.357 30.741 90.00 90.00 120.00
Atoms (fractional coordinates):
Pa (0.000, 0.000, 0.086)
Pa (0.000, 0.000, 0.914)
Pa (0.333, 0.667, 0.580)
Pa (0.333, 0.667, 0.753)
Pa (0.667, 0.333, 0.247)
Pa (0.667, 0.333, 0.420)
Te (0.000, 0.000, 0.500)
Te (0.333, 0.667, 0.167)
Te (0.667, 0.333, 0.833)
Pd (0.000, 0.000, 0.000)
Pd (0.333, 0.667, 0.667)
Pd (0.667, 0.333, 0.333)

Summary:
Magnetization = 0.4 μB/f.u.
Space-group type = R-3m
N(E_F) = 1.565 states/eV/atom

Which structure is the most stable? The one labeled #1.

#1
An optimized crystal structure of PaTePd, computed with PBE.

Lattice parameters (Å, degrees): 3.705 3.705 9.983 90.00 90.00 90.00
Atoms (fractional coordinates):
Pa (0.000, 0.000, 0.000)
Pa (0.500, 0.500, 0.500)
Te (0.000, 0.000, 0.321)
Te (0.500, 0.500, 0.821)
Pd (0.000, 0.000, 0.650)
Pd (0.500, 0.500, 0.150)

Summary:
Magnetization = 0.0 μB/f.u.
Space-group type = I4mm
N(E_F) = 1.321 states/eV/atom

#2
An optimized crystal structure of PaTePd, computed with PBE.

Lattice parameters (Å, degrees): 4.429 11.655 5.762 90.00 90.00 90.00
Atoms (fractional coordinates):
Pa (0.000, 0.102, 0.250)
Pa (0.000, 0.898, 0.750)
Pa (0.500, 0.398, 0.750)
Pa (0.500, 0.602, 0.250)
Te (0.000, 0.193, 0.750)
Te (0.000, 0.807, 0.250)
Te (0.500, 0.307, 0.250)
Te (0.500, 0.693, 0.750)
Pd (0.000, 0.462, 0.250)
Pd (0.000, 0.538, 0.750)
Pd (0.500, 0.038, 0.750)
Pd (0.500, 0.962, 0.250)

Summary:
Magnetization = 1.0 μB/f.u.
Space-group type = Cmcm
N(E_F) = 1.056 states/eV/atom

Which structure is the most stable? The one labeled #2.

#1
An optimized crystal structure of Th2PaPd, computed with PBE.

Lattice parameters (Å, degrees): 3.305 3.305 33.424 90.00 90.00 120.00
Atoms (fractional coordinates):
Th (0.000, 0.000, 0.095)
Th (0.000, 0.000, 0.905)
Th (0.333, 0.667, 0.572)
Th (0.333, 0.667, 0.762)
Th (0.667, 0.333, 0.238)
Th (0.667, 0.333, 0.428)
Pa (0.000, 0.000, 0.000)
Pa (0.333, 0.667, 0.667)
Pa (0.667, 0.333, 0.333)
Pd (0.000, 0.000, 0.500)
Pd (0.333, 0.667, 0.167)
Pd (0.667, 0.333, 0.833)

Summary:
Magnetization = 0.0 μB/f.u.
Space-group type = R-3m
N(E_F) = 1.347 states/eV/atom

#2
An optimized crystal structure of Th2PaPd, computed with PBE.

Lattice parameters (Å, degrees): 3.597 3.597 8.234 90.00 90.00 90.00
Atoms (fractional coordinates):
Th (0.000, 0.000, 0.223)
Th (0.000, 0.000, 0.777)
Pa (0.500, 0.500, 0.500)
Pd (0.500, 0.500, 0.000)

Summary:
Magnetization = 0.0 μB/f.u.
Space-group type = P4/mmm
N(E_F) = 0.994 states/eV/atom

Which structure is the most stable? The one labeled #2.